Arrangement i

DFT (PBE-GGA) results for an optimized crystal structure of CeErS3.

Summary:
Symmetry ... Pnma (62)

Cell and atoms, written as POSCAR:
```
CeErS3
1.0
7.3656 0.0000 0.0000
0.0000 3.9663 0.0000
0.0000 0.0000 15.2111
Ce Er S
4 4 12
direct
0.1394 0.2500 0.2025
0.3606 0.7500 0.7025
0.6394 0.2500 0.2975
0.8606 0.7500 0.7975
0.2323 0.7500 0.4566
0.2677 0.2500 0.9566
0.7323 0.7500 0.0434
0.7677 0.2500 0.5434
0.0117 0.2500 0.3954
0.1255 0.7500 0.0628
0.1500 0.2500 0.7831
0.3500 0.7500 0.2831
0.3745 0.2500 0.5628
0.4883 0.7500 0.8954
0.5117 0.2500 0.1046
0.6255 0.7500 0.4372
0.6500 0.2500 0.7169
0.8500 0.7500 0.2169
0.8745 0.2500 0.9372
0.9883 0.7500 0.6046
```



Arrangement ii

DFT (PBE-GGA) results for an optimized crystal structure of CeErS3.

Summary:
Symmetry ... P2_1/m (11)

Cell and atoms, written as POSCAR:
```
CeErS3
1.0
7.8079 0.0000 0.0000
0.0000 3.9277 0.0000
-0.6389 0.0000 7.8071
Ce Er S
2 2 6
direct
0.1214 0.2500 0.2687
0.8786 0.7500 0.7313
0.3537 0.7500 0.8269
0.6463 0.2500 0.1731
0.1249 0.2500 0.8852
0.1833 0.7500 0.5242
0.4027 0.7500 0.1793
0.5973 0.2500 0.8207
0.8167 0.2500 0.4758
0.8751 0.7500 0.1148
```



In terms of stability, arrangement i leads; the second structure lies 2.1 kJ/mol of atoms higher.



Arrangement i

DFT (PBE-GGA) results for an optimized crystal structure of Ce3ErSb4.

Summary:
Symmetry ... Cmmm (65)

Cell and atoms, written as POSCAR:
```
Ce3ErSb4
1.0
4.4581 -6.3094 0.0000
4.4581 6.3094 0.0000
0.0000 0.0000 4.4689
Ce Er Sb
3 1 4
direct
0.0000 0.0000 0.0000
0.0000 0.5000 0.5000
0.5000 0.0000 0.5000
0.5000 0.5000 0.0000
0.2531 0.7469 0.0000
0.2560 0.2560 0.5000
0.7440 0.7440 0.5000
0.7469 0.2531 0.0000
```



Arrangement ii

DFT (PBE-GGA) results for an optimized crystal structure of Ce3ErSb4.

Summary:
Symmetry ... Pm-3m (221)

Cell and atoms, written as POSCAR:
```
Ce3ErSb4
1.0
6.3140 0.0000 0.0000
0.0000 6.3140 0.0000
0.0000 0.0000 6.3140
Ce Er Sb
3 1 4
direct
0.0000 0.0000 0.5000
0.0000 0.5000 0.0000
0.5000 0.0000 0.0000
0.5000 0.5000 0.5000
0.0000 0.0000 0.0000
0.0000 0.5000 0.5000
0.5000 0.0000 0.5000
0.5000 0.5000 0.0000
```



In terms of stability, arrangement i leads; the second structure lies 0.6 kJ/mol of atoms higher.



Arrangement i

DFT (PBE-GGA) results for an optimized crystal structure of CeErSc.

Summary:
Symmetry ... P4/nmm (129)

Cell and atoms, written as POSCAR:
```
CeErSc
1.0
4.4921 0.0000 0.0000
0.0000 4.4921 0.0000
0.0000 0.0000 8.4325
Ce Er Sc
2 2 2
direct
0.2500 0.7500 0.0000
0.7500 0.2500 0.0000
0.2500 0.2500 0.3488
0.7500 0.7500 0.6512
0.2500 0.2500 0.7394
0.7500 0.7500 0.2606
```



Arrangement ii

DFT (PBE-GGA) results for an optimized crystal structure of CeErSc.

Summary:
Symmetry ... Cmcm (63)

Cell and atoms, written as POSCAR:
```
CeErSc
1.0
1.6705 -9.7216 0.0000
1.6705 9.7216 0.0000
0.0000 0.0000 5.1181
Ce Er Sc
2 2 2
direct
0.2114 0.7886 0.7500
0.7886 0.2114 0.2500
0.3878 0.6122 0.7500
0.6122 0.3878 0.2500
0.0402 0.9598 0.7500
0.9598 0.0402 0.2500
```



In terms of stability, arrangement ii leads; the second structure lies 18.6 kJ/mol of atoms higher.



Arrangement i

DFT (PBE-GGA) results for an optimized crystal structure of CeErSc.

Summary:
Symmetry ... I4mm (107)

Cell and atoms, written as POSCAR:
```
CeErSc
1.0
-1.7037 1.7037 7.2306
1.7037 -1.7037 7.2306
1.7037 1.7037 -7.2306
Ce Er Sc
1 1 1
direct
0.0000 0.0000 0.0000
0.6718 0.6718 0.0000
0.3403 0.3403 0.0000
```



Arrangement ii

DFT (PBE-GGA) results for an optimized crystal structure of CeErSc.

Summary:
Symmetry ... Cmce (64)

Cell and atoms, written as POSCAR:
```
CeErSc
1.0
3.1809 -4.9948 0.0000
3.1809 4.9948 0.0000
0.0000 0.0000 10.5096
Ce Er Sc
4 4 4
direct
0.0005 0.4995 0.2500
0.4995 0.0005 0.7500
0.5005 0.9995 0.2500
0.9995 0.5005 0.7500
0.1605 0.8395 0.0002
0.3395 0.6605 0.5002
0.6605 0.3395 0.4998
0.8395 0.1605 0.9998
0.9999 0.0001 0.3486
0.0001 0.9999 0.6514
0.4999 0.5001 0.1514
0.5001 0.4999 0.8486
```



In terms of stability, arrangement i leads; the second structure lies 19.8 kJ/mol of atoms higher.